A plane-wave DFT calculation with PBE was carried out for crystalline CeEu2Al at its relaxed geometry.

Cell and atoms, written as CIF:
```
data_CeEu2Al
_cell_length_a 3.770
_cell_length_b 3.770
_cell_length_c 8.841
_cell_angle_alpha 90.00
_cell_angle_beta 90.00
_cell_angle_gamma 90.00
_space_group_name_H-M_alt 'P 4/m m m'
_space_group_IT_number 123
_space_group_name_Hall '-P 4 2'
loop_
_atom_site_label
_atom_site_fract_x
_atom_site_fract_y
_atom_site_fract_z
Ce1 0.000 0.000 0.000
Eu1 0.500 0.500 0.292
Al1 0.000 0.000 0.500
```

Computed properties:
The calculated formation energy is 9.4 kJ/mol of formula units. For the total energy, the calculation gives -30.128 eV/f.u. The total magnetization is 16.3 μB per formula unit. For the calculated density, the calculation gives 6.23 g/cm3.


A plane-wave DFT calculation with PBE was carried out for crystalline CeEuAlGa at its relaxed geometry.

Cell and atoms, written as CIF:
```
data_CeEuAlGa
_cell_length_a 7.406
_cell_length_b 7.406
_cell_length_c 7.406
_cell_angle_alpha 90.00
_cell_angle_beta 90.00
_cell_angle_gamma 90.00
_space_group_name_H-M_alt 'F -4 3 m'
_space_group_IT_number 216
_space_group_name_Hall 'F -4 2 3'
loop_
_atom_site_label
_atom_site_fract_x
_atom_site_fract_y
_atom_site_fract_z
Ce1 0.000 0.000 0.000
Eu1 0.000 0.000 0.500
Al1 0.250 0.250 0.250
Ga1 0.250 0.250 0.750
```

Computed properties:
The calculated formation energy is -122.3 kJ/mol of formula units. For the total energy, the calculation gives -24.245 eV/f.u. The total magnetization is 7.7 μB per formula unit. For the calculated density, the calculation gives 6.36 g/cm3.


A plane-wave DFT calculation with PBE was carried out for crystalline CeEuAlHg at its relaxed geometry.

Cell and atoms, written as CIF:
```
data_CeEuAlHg
_cell_length_a 7.634
_cell_length_b 7.634
_cell_length_c 7.634
_cell_angle_alpha 90.00
_cell_angle_beta 90.00
_cell_angle_gamma 90.00
_space_group_name_H-M_alt 'F -4 3 m'
_space_group_IT_number 216
_space_group_name_Hall 'F -4 2 3'
loop_
_atom_site_label
_atom_site_fract_x
_atom_site_fract_y
_atom_site_fract_z
Ce1 0.000 0.000 0.000
Eu1 0.000 0.000 0.500
Al1 0.250 0.250 0.750
Hg1 0.250 0.250 0.250
```

Computed properties:
The calculated formation energy is -106.8 kJ/mol of formula units. For the total energy, the calculation gives -21.360 eV/f.u. The total magnetization is 8.3 μB per formula unit. For the calculated density, the calculation gives 7.76 g/cm3.


A plane-wave DFT calculation with PBE was carried out for crystalline LaCeEuAl at its relaxed geometry.

Cell and atoms, written as CIF:
```
data_LaCeEuAl
_cell_length_a 7.807
_cell_length_b 7.807
_cell_length_c 7.807
_cell_angle_alpha 90.00
_cell_angle_beta 90.00
_cell_angle_gamma 90.00
_space_group_name_H-M_alt 'F -4 3 m'
_space_group_IT_number 216
_space_group_name_Hall 'F -4 2 3'
loop_
_atom_site_label
_atom_site_fract_x
_atom_site_fract_y
_atom_site_fract_z
La1 0.000 0.000 0.000
Ce1 0.000 0.000 0.500
Eu1 0.250 0.250 0.750
Al1 0.250 0.250 0.250
```

Computed properties:
The calculated formation energy is -0.7 kJ/mol of formula units. For the total energy, the calculation gives -24.886 eV/f.u. The total magnetization is 8.6 μB per formula unit. For the calculated density, the calculation gives 6.39 g/cm3.